1.
First-principles (GGA-PBE) data for a geometry-optimized TmZrGa4 structure, as listed in Alexandria via LeMat-Bulk.

a b c (Å): 4.621 4.621 7.834
angles (deg): 109.84 109.84 64.94
Fractional coordinates of all 6 atoms:
Tm1 0.000 0.000 0.000
Zr1 0.500 0.500 0.500
Ga1 0.109 0.109 0.402
Ga2 0.400 0.400 0.117
Ga3 0.600 0.600 0.883
Ga4 0.891 0.891 0.598

Output
The space group is C2/m, No. 12. The value obtained for the energy of formation is -0.06 eV per atom. The excess energy over the best structure of this formula in the dataset comes out at 505 meV per atom.


2.
First-principles (GGA-PBE) data for a geometry-optimized Y2FeTe structure, as listed in Alexandria via LeMat-Bulk.

a b c (Å): 7.856 7.856 7.856
angles (deg): 29.59 29.59 29.59
Fractional coordinates of all 4 atoms:
Y1 0.240 0.240 0.240
Y2 0.760 0.760 0.760
Fe1 0.500 0.500 0.500
Te1 0.000 0.000 0.000

Output
The space group is R-3m, No. 166. As for the raw formation energy: -0.39 eV/atom. The excess energy over the best structure of this formula in the dataset comes out at 134 meV per atom.


3.
First-principles (GGA-PBE) data for a geometry-optimized MnV4Os2 structure, as listed in Alexandria via LeMat-Bulk.

a b c (Å): 6.867 6.867 6.867
angles (deg): 144.40 144.40 51.23
Fractional coordinates of all 7 atoms:
Mn1 0.000 0.000 0.000
V1 0.000 0.500 0.500
V2 0.186 0.186 0.000
V3 0.500 0.000 0.500
V4 0.814 0.814 0.000
Os1 0.375 0.375 0.000
Os2 0.625 0.625 0.000

Output
The space group is I4/mmm, No. 139. The value obtained for the energy of formation is 0.76 eV per atom.


4.
First-principles (GGA-PBE) data for a geometry-optimized Ce2Dy6YEr3 structure, as listed in Alexandria via LeMat-Bulk.

a b c (Å): 6.115 6.115 11.707
angles (deg): 94.99 94.99 119.99
Fractional coordinates of all 12 atoms:
Ce1 0.167 0.833 0.000
Ce2 0.833 0.167 0.000
Dy1 0.080 0.416 0.750
Dy2 0.248 0.248 0.251
Dy3 0.416 0.080 0.750
Dy4 0.584 0.920 0.250
Dy5 0.752 0.752 0.749
Dy6 0.920 0.584 0.250
Y1 0.500 0.500 0.000
Er1 0.000 0.000 0.500
Er2 0.334 0.666 0.500
Er3 0.666 0.334 0.500

Output
The space group is C2/m, No. 12. The value obtained for the energy of formation is 0.05 eV per atom.


5.
First-principles (GGA-PBE) data for a geometry-optimized ScGe structure, as listed in Alexandria via LeMat-Bulk.

a b c (Å): 4.765 4.765 5.392
angles (deg): 90.00 90.00 120.00
Fractional coordinates of all 4 atoms:
Sc1 0.333 0.667 0.250
Sc2 0.667 0.333 0.750
Ge1 0.333 0.667 0.750
Ge2 0.667 0.333 0.250

Output
The space group is P6_3/mmc, No. 194. The value obtained for the energy of formation is -0.25 eV per atom.


6.
First-principles (GGA-PBE) data for a geometry-optimized CaY2HfO6 structure, as listed in Alexandria via LeMat-Bulk.

a b c (Å): 6.014 6.014 6.014
angles (deg): 56.91 56.91 56.91
Fractional coordinates of all 10 atoms:
Ca1 0.000 0.000 0.000
Y1 0.219 0.219 0.219
Y2 0.722 0.722 0.722
Hf1 0.510 0.510 0.510
O1 0.144 0.412 0.786
O2 0.332 0.888 0.601
O3 0.412 0.786 0.144
O4 0.601 0.332 0.888
O5 0.786 0.144 0.412
O6 0.888 0.601 0.332

Output
The space group is R3, No. 146. As for the raw formation energy: -3.43 eV/atom.